[1]
# MgTe2HI | Alexandria | PBE-GGA | optimized geometry
# N(E_F) = 0.570 states/eV/atom
# distance to the lowest polymorph of the same formula = 0.0 meV per atom
data_MgTe2HI
_chemical_formula_sum 'Mg1 Te2 H1 I1'
_symmetry_space_group_name_H-M 'P 4/m m m'
_symmetry_Int_Tables_number 123
_symmetry_space_group_name_Hall '-P 4 2'
_cell_length_a 4.398
_cell_length_b 4.398
_cell_length_c 7.092
_cell_angle_alpha 90.00
_cell_angle_beta 90.00
_cell_angle_gamma 90.00
loop_
_atom_site_label
_atom_site_fract_x
_atom_site_fract_y
_atom_site_fract_z
Mg1 0.000 0.000 0.000
Te1 0.000 0.500 0.500
H1 0.500 0.500 0.500
I1 0.500 0.500 0.000

---

[2]
# MgTe2HI | Alexandria | PBE-GGA | optimized geometry
# N(E_F) = 1.002 states/eV/atom
# distance to the lowest polymorph of the same formula = 389.0 meV per atom
data_MgTe2HI
_chemical_formula_sum 'Mg1 Te2 H1 I1'
_symmetry_space_group_name_H-M 'P 4/m m m'
_symmetry_Int_Tables_number 123
_symmetry_space_group_name_Hall '-P 4 2'
_cell_length_a 5.560
_cell_length_b 5.560
_cell_length_c 5.881
_cell_angle_alpha 90.00
_cell_angle_beta 90.00
_cell_angle_gamma 90.00
loop_
_atom_site_label
_atom_site_fract_x
_atom_site_fract_y
_atom_site_fract_z
Mg1 0.000 0.000 0.000
Te1 0.000 0.500 0.000
H1 0.500 0.500 0.500
I1 0.000 0.000 0.500

---

[3]
# MgTlHI2 | Alexandria | PBE-GGA | optimized geometry
# E = -13.06 eV per formula unit
data_MgTlHI2
_chemical_formula_sum 'Mg1 Tl1 H1 I2'
_symmetry_space_group_name_H-M 'P 4/m m m'
_symmetry_Int_Tables_number 123
_symmetry_space_group_name_Hall '-P 4 2'
_cell_length_a 6.047
_cell_length_b 6.047
_cell_length_c 3.938
_cell_angle_alpha 90.00
_cell_angle_beta 90.00
_cell_angle_gamma 90.00
loop_
_atom_site_label
_atom_site_fract_x
_atom_site_fract_y
_atom_site_fract_z
Mg1 0.000 0.000 0.000
Tl1 0.500 0.500 0.500
H1 0.000 0.000 0.500
I1 0.000 0.500 0.000

---

[4]
# Mg2ZrHI | Alexandria | PBE-GGA | optimized geometry
# N(E_F) = 0.695 states/eV/atom
# distance to the lowest polymorph of the same formula = 43.1 meV per atom
data_Mg2ZrHI
_chemical_formula_sum 'Mg2 Zr1 H1 I1'
_symmetry_space_group_name_H-M 'P 4/m m m'
_symmetry_Int_Tables_number 123
_symmetry_space_group_name_Hall '-P 4 2'
_cell_length_a 4.138
_cell_length_b 4.138
_cell_length_c 5.729
_cell_angle_alpha 90.00
_cell_angle_beta 90.00
_cell_angle_gamma 90.00
loop_
_atom_site_label
_atom_site_fract_x
_atom_site_fract_y
_atom_site_fract_z
Mg1 0.000 0.500 0.000
Zr1 0.000 0.000 0.500
H1 0.500 0.500 0.000
I1 0.500 0.500 0.500

---

[5]
# Mg2ZrHI | Alexandria | PBE-GGA | optimized geometry
# N(E_F) = 0.864 states/eV/atom
# distance to the lowest polymorph of the same formula = 0.0 meV per atom
data_Mg2ZrHI
_chemical_formula_sum 'Mg2 Zr1 H1 I1'
_symmetry_space_group_name_H-M 'P 4/m m m'
_symmetry_Int_Tables_number 123
_symmetry_space_group_name_Hall '-P 4 2'
_cell_length_a 5.227
_cell_length_b 5.227
_cell_length_c 3.805
_cell_angle_alpha 90.00
_cell_angle_beta 90.00
_cell_angle_gamma 90.00
loop_
_atom_site_label
_atom_site_fract_x
_atom_site_fract_y
_atom_site_fract_z
Mg1 0.000 0.500 0.000
Zr1 0.000 0.000 0.500
H1 0.000 0.000 0.000
I1 0.500 0.500 0.500

---

[6]
# MnH3I | Alexandria | PBE-GGA | optimized geometry
# N(E_F) = 0.378 states/eV/atom
# distance to the lowest polymorph of the same formula = 677.2 meV per atom
data_MnH3I
_chemical_formula_sum 'Mn1 H3 I1'
_symmetry_space_group_name_H-M 'P m -3 m'
_symmetry_Int_Tables_number 221
_symmetry_space_group_name_Hall '-P 4 2 3'
_cell_length_a 4.198
_cell_length_b 4.198
_cell_length_c 4.198
_cell_angle_alpha 90.00
_cell_angle_beta 90.00
_cell_angle_gamma 90.00
loop_
_atom_site_label
_atom_site_fract_x
_atom_site_fract_y
_atom_site_fract_z
Mn1 0.000 0.000 0.000
H1 0.000 0.500 0.500
I1 0.500 0.500 0.500

---

| no. | M_tot (μB/atom) |
| --- | --- |
| 1 | 0.0000 |
| 2 | 0.5417 |
| 3 | 0.0000 |
| 4 | 0.0000 |
| 5 | 0.0000 |
| 6 | 1.0083 |